No. 1
The following is a DFT calculation (GGA-PBEsol) of IrCIN2 after structural relaxation.

Calculated values
- E_form (uncorrected): 1800 meV per atom
- SG: P4/mmm
- DFT total energy: -5.8579 eV per atom
- Mass density: 5.63 g/cm³

Structure (POSCAR):
```
IrCIN2
1.0
3.6615 0.0000 0.0000
0.0000 3.6615 0.0000
0.0000 0.0000 7.8989
Ir C I N
1 1 1 2
Direct
0.0000 0.0000 0.0000
0.5000 0.5000 0.5000
0.0000 0.0000 0.5000
0.0000 0.5000 0.0000
0.5000 0.0000 0.0000
```

=====

No. 2
The following is a DFT calculation (GGA-PBEsol) of IrCI2N after structural relaxation.

Calculated values
- E_form (uncorrected): 1668 meV per atom
- SG: P4/mmm
- DFT total energy: -4.6371 eV per atom
- Mass density: 7.19 g/cm³

Structure (POSCAR):
```
IrCI2N
1.0
5.4541 0.0000 0.0000
0.0000 5.4541 0.0000
0.0000 0.0000 3.6661
Ir C I N
1 1 2 1
Direct
0.0000 0.0000 0.0000
0.5000 0.5000 0.5000
0.0000 0.5000 0.0000
0.5000 0.0000 0.0000
0.0000 0.0000 0.5000
```

=====

No. 3
The following is a DFT calculation (GGA-PBEsol) of Te2IrCI after structural relaxation.

Calculated values
- E_form (uncorrected): 1538 meV per atom
- SG: P4/mmm
- DFT total energy: -4.1191 eV per atom
- Mass density: 9.89 g/cm³

Structure (POSCAR):
```
Te2IrCI
1.0
4.6358 0.0000 0.0000
0.0000 4.6358 0.0000
0.0000 0.0000 4.5794
Te Ir C I
2 1 1 1
Direct
0.0000 0.5000 0.0000
0.5000 0.0000 0.0000
0.0000 0.0000 0.5000
0.5000 0.5000 0.0000
0.5000 0.5000 0.5000
```

=====

No. 4
The following is a DFT calculation (GGA-PBEsol) of KCIN2 after structural relaxation.

Calculated values
- E_form (uncorrected): 3214 meV per atom
- SG: P4/mmm
- DFT total energy: -2.7052 eV per atom
- Mass density: 2.03 g/cm³

Structure (POSCAR):
```
KCIN2
1.0
4.9616 0.0000 0.0000
0.0000 4.9616 0.0000
0.0000 0.0000 6.8402
K C I N
1 1 1 2
Direct
0.0000 0.0000 0.0000
0.5000 0.5000 0.5000
0.0000 0.0000 0.5000
0.0000 0.5000 0.0000
0.5000 0.0000 0.0000
```

=====

No. 5
The following is a DFT calculation (GGA-PBEsol) of KZr6CI14 after structural relaxation.

Calculated values
- E_form (uncorrected): -1049 meV per atom
- SG: Cmce
- DFT total energy: -5.1426 eV per atom
- Mass density: 5.56 g/cm³

Structure (POSCAR):
```
KZr6CI14
1.0
7.8614 -7.1260 0.0000
7.8614 7.1260 0.0000
0.0000 0.0000 12.6547
K Zr C I
2 12 2 28
Direct
0.0000 0.0000 0.0000
0.5000 0.5000 0.5000
0.0412 0.1682 0.6085
0.1315 0.8685 0.5982
0.1682 0.0412 0.3915
0.3318 0.4588 0.8915
0.3685 0.6315 0.0982
0.4588 0.3318 0.1085
0.5412 0.6682 0.8915
0.6315 0.3685 0.9018
0.6682 0.5412 0.1085
0.8318 0.9588 0.6085
0.8685 0.1315 0.4018
0.9588 0.8318 0.3915
0.0000 0.0000 0.5000
0.5000 0.5000 0.0000
0.0358 0.2142 0.2458
0.0984 0.4016 0.7500
0.1158 0.6321 0.4937
0.1321 0.6158 0.9937
0.1560 0.8440 0.2328
0.2142 0.0358 0.7542
0.2477 0.2477 0.0000
0.2523 0.2523 0.5000
0.2858 0.4642 0.2542
0.3440 0.6560 0.7328
0.3679 0.8842 0.4937
0.3842 0.8679 0.9937
0.4016 0.0984 0.2500
0.4642 0.2858 0.7458
0.5358 0.7142 0.2542
0.5984 0.9016 0.7500
0.6158 0.1321 0.0063
0.6321 0.1158 0.5063
0.6560 0.3440 0.2672
0.7142 0.5358 0.7458
0.7477 0.7477 0.5000
0.7523 0.7523 0.0000
0.7858 0.9642 0.2458
0.8440 0.1560 0.7672
0.8679 0.3842 0.0063
0.8842 0.3679 0.5063
0.9016 0.5984 0.2500
0.9642 0.7858 0.7542
```

=====

No. 6
The following is a DFT calculation (GGA-PBEsol) of LaCI after structural relaxation.

Calculated values
- E_form (uncorrected): -896 meV per atom
- SG: C2/m
- DFT total energy: -6.4812 eV per atom
- Mass density: 5.49 g/cm³

Structure (POSCAR):
```
LaCI
1.0
3.7747 -2.0489 0.0000
3.7747 2.0489 0.0000
-0.6878 0.0000 10.8650
La C I
2 2 2
Direct
0.1428 0.1428 0.1367
0.8572 0.8572 0.8633
0.4247 0.4247 0.0279
0.5753 0.5753 0.9721
0.1736 0.1736 0.6647
0.8264 0.8264 0.3353
```